Record 1
The following is a PBE calculation of a relaxed SmAsNO crystal, from OQMD via LeMat-Bulk.

**E**: -6.9267 eV/atom
**Volume**: 245.3 Å³/cell

Cell lengths 6.0498, 6.2076, 6.5324 Å; angles 90.00, 90.00, 90.00 degrees
Last column: nearest neighbours and their distance in Å.
Sites, in units of the cell vectors:
As 0.0424 0.6069 0.2382  1 N 1.80, 1 O 1.89
As 0.5424 0.8931 0.2382  1 N 1.80, 1 O 1.89
As 0.0424 0.1069 0.7618  1 N 1.80, 1 O 1.89
As 0.5424 0.3931 0.7618  1 N 1.80, 1 O 1.89
N 0.4179 0.0963 0.0782  1 As 1.80
N 0.9179 0.4037 0.0782  1 As 1.80
N 0.4179 0.5963 0.9218  1 As 1.80
N 0.9179 0.9037 0.9218  1 As 1.80
O 0.6881 0.0828 0.4197  1 As 1.89
O 0.1881 0.4172 0.4197  1 As 1.89
O 0.6881 0.5828 0.5803  1 As 1.89
O 0.1881 0.9172 0.5803  1 As 1.89
Sm 0.0539 0.0748 0.2465  3 N 2.46-2.51, 3 O 2.49-2.54
Sm 0.5539 0.4252 0.2465  3 N 2.46-2.51, 3 O 2.49-2.54
Sm 0.0539 0.5748 0.7535  3 N 2.46-2.51, 3 O 2.49-2.54
Sm 0.5539 0.9252 0.7535  3 N 2.46-2.51, 3 O 2.49-2.54



Record 2
The following is a PBE calculation of a relaxed Zr3Cu2Ge2 crystal, from OQMD via LeMat-Bulk.

**E**: -6.2678 eV/atom
**Volume**: 135.8 Å³/cell

Cell lengths 8.0383, 8.0383, 8.0383 Å; angles 32.83, 32.83, 32.83 degrees
Last column: nearest neighbours and their distance in Å.
Sites, in units of the cell vectors:
Cu 0.2434 0.2434 0.2434  6 Zr 2.78-2.84
Cu 0.7537 0.7537 0.7537  5 Zr 2.66-2.93
Ge 0.0012 0.0012 0.0012  7 Zr 2.80-2.99
Ge 0.4998 0.4998 0.4998  5 Zr 2.69-2.85
Zr 0.3819 0.3819 0.3819  4 Ge 2.69-2.84, 3 Cu 2.76
Zr 0.6249 0.6249 0.6249  4 Ge 2.80-2.85, 4 Cu 2.84-2.93
Zr 0.8701 0.8701 0.8701  4 Cu 2.66-2.78, 3 Ge 2.75



Record 3
The following is a PBE calculation of a relaxed Ni2GeTe3 crystal, from OQMD via LeMat-Bulk.

**E**: -4.3309 eV/atom
**Volume**: 258.7 Å³/cell

Cell lengths 3.7841, 6.6404, 10.7398 Å; angles 90.00, 90.00, 73.45 degrees
Last column: nearest neighbours and their distance in Å.
Sites, in units of the cell vectors:
Ge 0.2624 0.4751 0.2500  2 Ni 2.41
Ge 0.7376 0.5249 0.7500  2 Ni 2.41
Ni 0.0000 0.0000 0.0000  6 Te 2.57-2.69
Ni 0.6446 0.7107 0.2500  2 Ge 2.41, 4 Te 2.56-2.63
Ni 0.0000 0.0000 0.5000  6 Te 2.57-2.68
Ni 0.3554 0.2893 0.7500  2 Ge 2.41, 4 Te 2.56-2.63
Te 0.6361 0.7278 0.0118  3 Ni 2.56-2.57
Te 0.0012 0.9976 0.2500  4 Ni 2.63-2.69
Te 0.6361 0.7278 0.4882  3 Ni 2.56-2.57
Te 0.3639 0.2722 0.5118  3 Ni 2.56-2.57
Te 0.9988 0.0024 0.7500  4 Ni 2.63-2.69
Te 0.3639 0.2722 0.9882  3 Ni 2.56-2.57